Record 1
Material: NaCaZr2
Method: DFT, GGA-PBE
State: optimized geometry

Lattice parameters (Å, degrees): 5.3227 5.3227 5.3227 60.00 60.00 60.00
Element x y z (fractional)
Zr 0.7500 0.7500 0.7500
Zr 0.2500 0.2500 0.2500
Ca 0.5000 0.5000 0.5000
Na 0.0000 0.0000 0.0000

The density of states at the Fermi level is 3.5 states/eV/cell. As for the space group: Fm-3m. The value obtained for the energy relative to the lowest polymorph listed for this composition is 12.4 kJ per mole of atoms. The value obtained for the total energy is -17.2 eV per cell. The energy relative to the elements comes out at 3.220 eV/f.u. The magnetic moment comes out at 0.00 μB per formula unit.


Record 2
Material: NaCa2Zr
Method: DFT, GGA-PBE
State: optimized geometry

Lattice parameters (Å, degrees): 8.7456 8.7456 7.0878 51.91 51.91 90.00
Element x y z (fractional)
Ca 0.3750 0.3913 0.7500
Ca 0.8750 0.8587 0.7500
Ca 0.1413 0.6250 0.2500
Ca 0.6087 0.1250 0.2500
Na 0.2500 0.7500 0.5000
Na 0.5000 0.5000 0.0000
Zr 0.0000 0.0000 0.0000
Zr 0.7500 0.2500 0.5000

The density of states at the Fermi level is 13.2 states/eV/cell. As for the space group: I-42d. The value obtained for the energy relative to the lowest polymorph listed for this composition is 22.1 kJ per mole of atoms. The value obtained for the total energy is -22.1 eV per cell. The energy relative to the elements comes out at 2.806 eV/f.u. The magnetic moment comes out at 2.41 μB per formula unit.


Record 3
Material: NaCa2Zr
Method: DFT, GGA-PBE
State: optimized geometry

Lattice parameters (Å, degrees): 5.7599 5.7599 5.7599 60.00 60.00 60.00
Element x y z (fractional)
Zr 0.5000 0.5000 0.5000
Ca 0.7500 0.7500 0.7500
Ca 0.2500 0.2500 0.2500
Na 0.0000 0.0000 0.0000

The density of states at the Fermi level is 8.8 states/eV/cell. As for the space group: Fm-3m. The value obtained for the energy relative to the lowest polymorph listed for this composition is 5.1 kJ per mole of atoms. The value obtained for the total energy is -11.8 eV per cell. The energy relative to the elements comes out at 2.103 eV/f.u. The magnetic moment comes out at 2.36 μB per formula unit.


Record 4
Material: Ca4Nb
Method: DFT, GGA-PBE
State: optimized geometry

Lattice parameters (Å, degrees): 5.7384 5.7384 5.7384 90.00 90.00 90.00
Element x y z (fractional)
Ca 0.5000 0.5000 0.0000
Ca 0.5000 0.0000 0.5000
Ca 0.0000 0.0000 0.0000
Ca 0.0000 0.5000 0.5000
Nb 0.5000 0.5000 0.5000

The density of states at the Fermi level is 3.9 states/eV/cell. As for the space group: Pm-3m. The value obtained for the total energy is -14.6 eV per cell. The energy relative to the elements comes out at 3.470 eV/f.u. The magnetic moment comes out at 0.51 μB per formula unit.